[1]
First-principles (PBE) data for an optimized crystal structure of Nb2Al3Mo4N3, as listed in OQMD.

Summary:
SG ... C2/c

a b c (Å): 5.1566 5.1566 14.1122
angles (deg): 100.44 100.44 60.43
Last column: nearest neighbours and their distance in Å.
Sites, in units of the cell vectors:
N1 0.5000 0.0000 0.5000  4 Mo 2.12, 2 Nb 2.28
N2 0.3504 0.7981 0.0000  4 Mo 2.13-2.18, 2 Nb 2.19
N3 0.6496 0.2019 0.0000  4 Mo 2.13-2.18, 2 Nb 2.19
N4 0.0000 0.5000 0.0000  4 Mo 2.12, 2 Nb 2.28
N5 0.7981 0.3504 0.5000  4 Mo 2.13-2.18, 2 Nb 2.19
N6 0.2019 0.6496 0.5000  4 Mo 2.13-2.18, 2 Nb 2.19
Mo1 0.9610 0.8134 0.9126  3 N 2.12-2.18
Mo2 0.0390 0.1866 0.0874  3 N 2.12-2.18
Mo3 0.8691 0.6976 0.5874  3 N 2.12-2.18
Mo4 0.1309 0.3024 0.4126  3 N 2.12-2.18
Mo5 0.3024 0.1309 0.9126  3 N 2.12-2.18
Mo6 0.1866 0.0390 0.5874  3 N 2.12-2.18
Mo7 0.8134 0.9610 0.4126  3 N 2.12-2.18
Mo8 0.6976 0.8691 0.0874  3 N 2.12-2.18
Nb1 0.6300 0.4655 0.8911  3 N 2.19-2.28
Nb2 0.5345 0.3700 0.6089  3 N 2.19-2.28
Nb3 0.3700 0.5345 0.1089  3 N 2.19-2.28
Nb4 0.4655 0.6300 0.3911  3 N 2.19-2.28
Al1 0.5803 0.8400 0.7492  4 Al 2.67-2.69, 4 Mo 2.72-2.74, 2 Nb 2.92
Al2 0.8400 0.5803 0.2492  4 Al 2.67-2.69, 4 Mo 2.72-2.74, 2 Nb 2.92
Al3 0.9999 0.0001 0.7500  4 Al 2.67-2.69, 4 Mo 2.71-2.72, 2 Nb 2.91
Al4 0.1600 0.4197 0.7508  4 Al 2.67-2.69, 4 Mo 2.72-2.74, 2 Nb 2.92
Al5 0.4197 0.1600 0.2508  4 Al 2.67-2.69, 4 Mo 2.72-2.74, 2 Nb 2.92
Al6 0.0001 0.9999 0.2500  4 Al 2.67-2.69, 4 Mo 2.71-2.72, 2 Nb 2.91

---

[2]
First-principles (PBE) data for an optimized crystal structure of AlNiMo4N2, as listed in OQMD.

Summary:
SG ... P-6m2

a b c (Å): 2.8255 2.8255 14.4426
angles (deg): 90.00 90.00 120.00
Last column: nearest neighbours and their distance in Å.
Sites, in units of the cell vectors:
Mo1 0.0000 0.0000 0.6479  3 N 2.17
Mo2 0.6667 0.3333 0.8444  3 N 2.15
Mo3 0.0000 0.0000 0.3521  3 N 2.17
Mo4 0.6667 0.3333 0.1556  3 N 2.15
Ni1 0.6667 0.3333 0.5000  6 Mo 2.69, 6 Ni 2.83
N1 0.3333 0.6667 0.2525  6 Mo 2.15-2.17
N2 0.3333 0.6667 0.7475  6 Mo 2.15-2.17
Al1 0.0000 0.0000 0.0000  6 Mo 2.78, 6 Al 2.83

---

[3]
First-principles (PBE) data for an optimized crystal structure of AlMo4PN2, as listed in OQMD.

Summary:
SG ... P-6m2

a b c (Å): 2.9342 2.9342 13.5247
angles (deg): 90.00 90.00 120.00
Last column: nearest neighbours and their distance in Å.
Sites, in units of the cell vectors:
Al1 0.0000 0.0000 0.0000  6 Mo 2.78, 6 Al 2.93
Mo1 0.6667 0.3333 0.8366  3 N 2.15
Mo2 0.0000 0.0000 0.6349  3 N 2.20
Mo3 0.6667 0.3333 0.1634  3 N 2.15
Mo4 0.0000 0.0000 0.3651  3 N 2.20
N1 0.3333 0.6667 0.2615  6 Mo 2.15-2.20
N2 0.3333 0.6667 0.7385  6 Mo 2.15-2.20
P1 0.6667 0.3333 0.5000  6 Mo 2.49

---

[4]
First-principles (PBE) data for an optimized crystal structure of AlMo4SN2, as listed in OQMD.

Summary:
SG ... P-6m2

a b c (Å): 2.9239 2.9239 13.6166
angles (deg): 90.00 90.00 120.00
Last column: nearest neighbours and their distance in Å.
Sites, in units of the cell vectors:
N1 0.3333 0.6667 0.7391  6 Mo 2.16-2.21
N2 0.3333 0.6667 0.2609  6 Mo 2.16-2.21
Mo1 0.6667 0.3333 0.6345  3 N 2.21
Mo2 0.0000 0.0000 0.1622  3 N 2.16
Mo3 0.6667 0.3333 0.3655  3 N 2.21
Mo4 0.0000 0.0000 0.8378  3 N 2.16
S1 0.0000 0.0000 0.5000  6 Mo 2.49
Al1 0.6667 0.3333 0.0000  6 Mo 2.78, 6 Al 2.92

---

[5]
First-principles (PBE) data for an optimized crystal structure of Sc2Al3Mo4N3, as listed in OQMD.

Summary:
SG ... C2/c

a b c (Å): 5.4038 5.4038 13.5894
angles (deg): 101.44 101.44 60.19
Last column: nearest neighbours and their distance in Å.
Sites, in units of the cell vectors:
Sc1 0.3682 0.5355 0.1070  3 N 2.21-2.29
Sc2 0.4645 0.6318 0.3930  3 N 2.21-2.29
Sc3 0.5355 0.3682 0.6070  3 N 2.21-2.29
Sc4 0.6318 0.4645 0.8930  3 N 2.21-2.29
Mo1 0.0371 0.1853 0.0776  3 N 2.08-2.13
Mo2 0.9629 0.8147 0.9224  3 N 2.08-2.13
Mo3 0.6943 0.8687 0.0782  3 N 2.10-2.13
Mo4 0.8687 0.6943 0.5782  3 N 2.10-2.13
Mo5 0.3057 0.1313 0.9218  3 N 2.10-2.13
Mo6 0.8147 0.9629 0.4224  3 N 2.08-2.13
Mo7 0.1313 0.3057 0.4218  3 N 2.10-2.13
Mo8 0.1853 0.0371 0.5776  3 N 2.08-2.13
N1 0.8057 0.3468 0.4999  4 Mo 2.11-2.13, 2 Sc 2.21
N2 0.5000 0.0000 0.5000  4 Mo 2.08-2.10, 2 Sc 2.29
N3 0.6532 0.1943 0.0001  4 Mo 2.11-2.13, 2 Sc 2.21
N4 0.3468 0.8057 0.9999  4 Mo 2.11-2.13, 2 Sc 2.21
N5 0.1943 0.6532 0.5001  4 Mo 2.11-2.13, 2 Sc 2.21
N6 0.0000 0.5000 0.0000  4 Mo 2.08-2.10, 2 Sc 2.29
Al1 0.4166 0.1078 0.2499  4 Al 2.71-2.72, 4 Mo 2.74-2.79
Al2 0.0588 0.9412 0.7500  4 Al 2.71, 4 Mo 2.73-2.77
Al3 0.5834 0.8922 0.7501  4 Al 2.71-2.72, 4 Mo 2.74-2.79
Al4 0.9412 0.0588 0.2500  4 Al 2.71, 4 Mo 2.73-2.77
Al5 0.8922 0.5834 0.2501  4 Al 2.71-2.72, 4 Mo 2.74-2.79
Al6 0.1078 0.4166 0.7499  4 Al 2.71-2.72, 4 Mo 2.74-2.79

---

[6]
First-principles (PBE) data for an optimized crystal structure of AlSiMo4N2, as listed in OQMD.

Summary:
SG ... P-6m2

a b c (Å): 2.9002 2.9002 13.9540
angles (deg): 90.00 90.00 120.00
Last column: nearest neighbours and their distance in Å.
Sites, in units of the cell vectors:
Mo1 0.0000 0.0000 0.3569  3 N 2.18
Mo2 0.3333 0.6667 0.8405  3 N 2.16
Mo3 0.3333 0.6667 0.1595  3 N 2.16
Mo4 0.0000 0.0000 0.6431  3 N 2.18
N1 0.6667 0.3333 0.7433  6 Mo 2.16-2.18
N2 0.6667 0.3333 0.2567  6 Mo 2.16-2.18
Si1 0.3333 0.6667 0.5000  6 Mo 2.61, 6 Si 2.90
Al1 0.0000 0.0000 0.0000  6 Mo 2.78, 6 Al 2.90

---

[7]
First-principles (PBE) data for an optimized crystal structure of Al3Mo2W4N3, as listed in OQMD.

Summary:
SG ... C2/c

a b c (Å): 5.0339 5.0339 14.5998
angles (deg): 100.47 100.47 60.28
Last column: nearest neighbours and their distance in Å.
Sites, in units of the cell vectors:
N1 0.5000 0.0000 0.0000  4 W 2.08-2.09
N2 0.8354 0.3327 0.0000  4 W 2.04-2.12
N3 0.3327 0.8354 0.5000  4 W 2.04-2.12
N4 0.6673 0.1646 0.5000  4 W 2.04-2.12
N5 0.0000 0.5000 0.5000  4 W 2.08-2.09
N6 0.1646 0.6673 0.0000  4 W 2.04-2.12
W1 0.9828 0.7969 0.4136  3 N 2.04-2.12
W2 0.1451 0.3083 0.9134  3 N 2.04-2.12
W3 0.2031 0.0172 0.0864  3 N 2.04-2.12
W4 0.3083 0.1451 0.4134  3 N 2.04-2.12
W5 0.8549 0.6917 0.0866  3 N 2.04-2.12
W6 0.6917 0.8549 0.5866  3 N 2.04-2.12
W7 0.0172 0.2031 0.5864  3 N 2.04-2.12
W8 0.7969 0.9828 0.9136  3 N 2.04-2.12
Al1 0.0915 0.4130 0.2490  4 Al 2.52-2.53, 4 W 2.74-2.75, 2 Mo 2.77-2.79
Al2 0.0813 0.9187 0.2500  4 Al 2.52, 4 W 2.75-2.76, 2 Mo 2.78
Al3 0.9085 0.5870 0.7510  4 Al 2.52-2.53, 4 W 2.74-2.75, 2 Mo 2.77-2.79
Al4 0.9187 0.0813 0.7500  4 Al 2.52, 4 W 2.75-2.76, 2 Mo 2.78
Al5 0.4130 0.0915 0.7490  4 Al 2.52-2.53, 4 W 2.74-2.75, 2 Mo 2.77-2.79
Al6 0.5870 0.9085 0.2510  4 Al 2.52-2.53, 4 W 2.74-2.75, 2 Mo 2.77-2.79
Mo1 0.4434 0.6188 0.8361  1 Mo 2.46
Mo2 0.6188 0.4434 0.3361  1 Mo 2.46
Mo3 0.5566 0.3812 0.1639  1 Mo 2.46
Mo4 0.3812 0.5566 0.6639  1 Mo 2.46

---

[8]
First-principles (PBE) data for an optimized crystal structure of Y4Al3Mo2N3, as listed in OQMD.

Summary:
SG ... C2/c

a b c (Å): 5.8028 5.8028 14.2336
angles (deg): 101.59 101.59 60.55
Last column: nearest neighbours and their distance in Å.
Sites, in units of the cell vectors:
Y1 0.9664 0.8022 0.4005  3 N 2.38-2.43
Y2 0.1302 0.3024 0.9005  3 N 2.37-2.41
Y3 0.8022 0.9664 0.9005  3 N 2.38-2.43
Y4 0.3024 0.1302 0.4005  3 N 2.37-2.41
Y5 0.6976 0.8698 0.5995  3 N 2.37-2.41
Y6 0.0336 0.1978 0.5995  3 N 2.38-2.43
Y7 0.1978 0.0336 0.0995  3 N 2.38-2.43
Y8 0.8698 0.6976 0.0995  3 N 2.37-2.41
N1 0.6604 0.1793 0.4999  2 Mo 2.16-2.18, 3 Y 2.37-2.41
N2 0.8207 0.3396 0.0001  2 Mo 2.16-2.18, 3 Y 2.37-2.41
N3 0.0000 0.5000 0.5000  2 Mo 2.17, 4 Y 2.38-2.40
N4 0.1793 0.6604 0.9999  2 Mo 2.16-2.18, 3 Y 2.37-2.41
N5 0.5000 0.0000 0.0000  2 Mo 2.17, 4 Y 2.38-2.40
N6 0.3396 0.8207 0.5001  2 Mo 2.16-2.18, 3 Y 2.37-2.41
Mo1 0.5245 0.3530 0.0752  3 N 2.16-2.18
Mo2 0.3530 0.5245 0.5752  3 N 2.16-2.18
Mo3 0.6470 0.4755 0.4248  3 N 2.16-2.18
Mo4 0.4755 0.6470 0.9248  3 N 2.16-2.18
Al1 0.1613 0.8387 0.7500  2 Al 2.60, 2 Mo 2.84
Al2 0.3251 0.4168 0.2511  2 Al 2.59-2.60, 2 Mo 2.85
Al3 0.6749 0.5832 0.7489  2 Al 2.59-2.60, 2 Mo 2.85
Al4 0.4168 0.3251 0.7511  2 Al 2.59-2.60, 2 Mo 2.85
Al5 0.8387 0.1613 0.2500  2 Al 2.60, 2 Mo 2.84
Al6 0.5832 0.6749 0.2489  2 Al 2.59-2.60, 2 Mo 2.85

---

[9]
First-principles (PBE) data for an optimized crystal structure of AlZnMo4N2, as listed in OQMD.

Summary:
SG ... P-6m2

a b c (Å): 2.8460 2.8460 14.6430
angles (deg): 90.00 90.00 120.00
Last column: nearest neighbours and their distance in Å.
Sites, in units of the cell vectors:
Mo1 0.6667 0.3333 0.6537  3 N 2.16
Mo2 0.3333 0.6667 0.1544  3 N 2.16
Mo3 0.6667 0.3333 0.3463  3 N 2.16
Mo4 0.3333 0.6667 0.8456  3 N 2.16
Zn1 0.6667 0.3333 0.0000  6 Mo 2.80, 6 Zn 2.85
N1 0.0000 0.0000 0.2503  6 Mo 2.16
N2 0.0000 0.0000 0.7497  6 Mo 2.16
Al1 0.3333 0.6667 0.5000  6 Mo 2.79, 6 Al 2.85

---

[10]
First-principles (PBE) data for an optimized crystal structure of Zr2Al3Mo4N3, as listed in OQMD.

Summary:
SG ... C2/c

a b c (Å): 5.4063 5.4063 13.6362
angles (deg): 101.48 101.48 60.14
Last column: nearest neighbours and their distance in Å.
Sites, in units of the cell vectors:
Mo1 0.8706 0.6935 0.5779  3 N 2.11-2.13
Mo2 0.9608 0.8169 0.9216  3 N 2.10-2.14
Mo3 0.1831 0.0392 0.5784  3 N 2.10-2.14
Mo4 0.1294 0.3065 0.4221  3 N 2.11-2.13
Mo5 0.0392 0.1831 0.0784  3 N 2.10-2.14
Mo6 0.3065 0.1294 0.9221  3 N 2.11-2.13
Mo7 0.8169 0.9608 0.4216  3 N 2.10-2.14
Mo8 0.6935 0.8706 0.0779  3 N 2.11-2.13
Al1 0.5840 0.8971 0.7495  4 Al 2.70-2.71, 4 Mo 2.73-2.79
Al2 0.0676 0.9324 0.7500  4 Al 2.70-2.71, 4 Mo 2.73-2.77
Al3 0.8971 0.5840 0.2495  4 Al 2.70-2.71, 4 Mo 2.73-2.79
Al4 0.1029 0.4160 0.7505  4 Al 2.70-2.71, 4 Mo 2.73-2.79
Al5 0.4160 0.1029 0.2505  4 Al 2.70-2.71, 4 Mo 2.73-2.79
Al6 0.9324 0.0676 0.2500  4 Al 2.70-2.71, 4 Mo 2.73-2.77
N1 0.8041 0.3473 0.4997  4 Mo 2.12-2.14, 2 Zr 2.26
N2 0.3473 0.8041 0.9997  4 Mo 2.12-2.14, 2 Zr 2.26
N3 0.1959 0.6527 0.5003  4 Mo 2.12-2.14, 2 Zr 2.26
N4 0.6527 0.1959 0.0003  4 Mo 2.12-2.14, 2 Zr 2.26
N5 0.5000 0.0000 0.5000  4 Mo 2.10-2.11, 2 Zr 2.33
N6 0.0000 0.5000 0.0000  4 Mo 2.10-2.11, 2 Zr 2.33
Zr1 0.3680 0.5371 0.1128  3 N 2.26-2.33
Zr2 0.5371 0.3680 0.6128  3 N 2.26-2.33
Zr3 0.6320 0.4629 0.8872  3 N 2.26-2.33
Zr4 0.4629 0.6320 0.3872  3 N 2.26-2.33

---

[11]
First-principles (PBE) data for an optimized crystal structure of Na2Al2MoOs2W, as listed in OQMD.

Summary:
SG ... P-4m2

a b c (Å): 4.4149 4.4149 6.2462
angles (deg): 90.00 90.00 90.00
Last column: nearest neighbours and their distance in Å.
Sites, in units of the cell vectors:
Os1 0.5000 0.0000 0.7478  2 W 2.70, 4 Al 2.70-2.71, 2 Mo 2.71
Os2 0.0000 0.5000 0.2522  2 W 2.70, 4 Al 2.70-2.71, 2 Mo 2.71
W1 0.5000 0.5000 0.5000  4 Os 2.70, 4 Na 2.71
Na1 0.5000 0.0000 0.2474  2 Mo 2.69, 4 Al 2.69-2.71, 2 W 2.71
Na2 0.0000 0.5000 0.7526  2 Mo 2.69, 4 Al 2.69-2.71, 2 W 2.71
Mo1 0.0000 0.0000 0.0000  4 Na 2.69, 4 Os 2.71
Al1 0.0000 0.0000 0.5000  4 Os 2.70, 4 Na 2.71
Al2 0.5000 0.5000 0.0000  4 Na 2.69, 4 Os 2.71

---

[12]
First-principles (PBE) data for an optimized crystal structure of NbAlMo2, as listed in OQMD.

Summary:
SG ... F-43m

a b c (Å): 4.5095 4.5095 4.5095
angles (deg): 60.00 60.00 60.00
Last column: nearest neighbours and their distance in Å.
Sites, in units of the cell vectors:
Mo1 0.0000 0.0000 0.0000  4 Nb 2.76, 4 Mo 2.76
Mo2 0.7500 0.7500 0.7500  4 Al 2.76, 4 Mo 2.76
Nb1 0.2500 0.2500 0.2500  4 Mo 2.76, 4 Al 2.76
Al1 0.5000 0.5000 0.5000  4 Mo 2.76, 4 Nb 2.76

---

no.,energy (eV for the cell shown)
1,-208.61
2,-69.99
3,-70.61
4,-68.84
5,-199.84
6,-70.42
7,-222.87
8,-186.15
9,-66.18
10,-207.86
11,-54.56
12,-35.63